Material: Dy5Co2Hg
Method: DFT, PBE
State: relaxed

Summary:
ΔE_f: -0.28 eV/atom
Magnetic moment: 0.00 Bohr magnetons per cell

Cell lengths 8.5342, 8.5342, 8.5342 Å; angles 127.12, 127.12, 78.06 degrees
Atoms (fractional coordinates):
Dy  0.0000  0.0000  0.0000
Dy  0.0285  0.5285  0.8223
Dy  0.2063  0.0285  0.5000
Dy  0.2937  0.7937  0.8223
Dy  0.4715  0.2937  0.5000
Dy  0.5000  0.5000  0.0000
Dy  0.5285  0.7063  0.5000
Dy  0.7063  0.2063  0.1777
Dy  0.7937  0.9715  0.5000
Dy  0.9715  0.4715  0.1777
Co  0.1353  0.3647  0.5000
Co  0.3647  0.8647  0.2294
Co  0.6353  0.1353  0.7706
Co  0.8647  0.6353  0.5000
Hg  0.2500  0.2500  0.0000
Hg  0.7500  0.7500  0.0000


Material: Nd3IrSe2
Method: DFT, PBE
State: relaxed

Summary:
E_form (uncorrected): -136.7 kJ/mol of atoms
Magnetic moment: 0.00 Bohr magnetons per cell

Cell lengths 7.3882, 7.3882, 7.1933 Å; angles 99.86, 99.86, 118.62 degrees
Atoms (fractional coordinates):
Nd  0.0000  0.5000  0.0000
Nd  0.1496  0.2998  0.4977
Nd  0.2998  0.1496  0.9977
Nd  0.5000  0.0000  0.5000
Nd  0.7002  0.8504  0.0023
Nd  0.8504  0.7002  0.5023
Ir  0.0886  0.9114  0.2500
Ir  0.9114  0.0886  0.7500
Se  0.2564  0.7436  0.7500
Se  0.4176  0.5824  0.2500
Se  0.5824  0.4176  0.7500
Se  0.7436  0.2564  0.2500


Material: IrOsN2F
Method: DFT, PBE
State: relaxed

Summary:
E_form (uncorrected): 116.5 kJ/mol of atoms
Magnetic moment: 1.17 Bohr magnetons per cell

Cell lengths 3.8653, 3.8653, 4.0990 Å; angles 90.00, 90.00, 90.00 degrees
Atoms (fractional coordinates):
Ir  0.0000  0.0000  0.0000
Os  0.5000  0.5000  0.5000
N  0.0000  0.5000  0.5000
N  0.5000  0.0000  0.5000
F  0.5000  0.5000  0.0000


Material: TaSbH
Method: DFT, PBE
State: relaxed

Summary:
Magnetic moment: 0.00 Bohr magnetons per cell

Cell lengths 10.7911, 10.7911, 10.7911 Å; angles 97.95, 97.95, 136.34 degrees
Atoms (fractional coordinates):
Ta  0.1051  0.9976  0.7146
Ta  0.1095  0.3949  0.3925
Ta  0.1701  0.8492  0.8878
Ta  0.2170  0.6095  0.2146
Ta  0.2177  0.3299  0.1791
Ta  0.3492  0.9614  0.6791
Ta  0.4614  0.2823  0.6122
Ta  0.4976  0.2830  0.8925
Ta  0.5024  0.7170  0.1075
Ta  0.5386  0.7177  0.3878
Ta  0.6508  0.0386  0.3209
Ta  0.7823  0.6701  0.8209
Ta  0.7830  0.3905  0.7854
Ta  0.8299  0.1508  0.1122
Ta  0.8905  0.6051  0.6075
Ta  0.8949  0.0024  0.2854
Sb  0.0651  0.6371  0.4206
Sb  0.1087  0.9849  0.1078
Sb  0.1371  0.2166  0.5720
Sb  0.1445  0.5651  0.9280
Sb  0.2834  0.3555  0.9206
Sb  0.3771  0.0009  0.3922
Sb  0.4849  0.8771  0.8762
Sb  0.4991  0.3913  0.3762
Sb  0.5009  0.6087  0.6238
Sb  0.5151  0.1229  0.1238
Sb  0.6229  0.9991  0.6078
Sb  0.7166  0.6445  0.0794
Sb  0.8555  0.4349  0.0720
Sb  0.8629  0.7834  0.4280
Sb  0.8913  0.0151  0.8922
Sb  0.9349  0.3629  0.5794
H  0.0790  0.3626  0.0909
H  0.1374  0.7283  0.7164
H  0.1627  0.2595  0.3333
H  0.2283  0.0119  0.5909
H  0.2405  0.0737  0.9032
H  0.3295  0.6627  0.4032
H  0.4263  0.8295  0.1667
H  0.4881  0.5790  0.2164
H  0.5119  0.4210  0.7836
H  0.5737  0.1705  0.8333
H  0.6705  0.3373  0.5968
H  0.7595  0.9263  0.0968
H  0.7717  0.9881  0.4091
H  0.8373  0.7405  0.6667
H  0.8626  0.2717  0.2836
H  0.9210  0.6374  0.9091


Material: La2YAl
Method: DFT, PBE
State: relaxed

Summary:
ΔE_f: -0.17 eV/atom
Magnetic moment: 0.00 Bohr magnetons per cell

Cell lengths 6.7159, 6.7159, 5.5052 Å; angles 114.16, 114.16, 33.77 degrees
Atoms (fractional coordinates):
La  0.0000  0.0000  0.0000
La  0.2116  0.2116  0.7133
Y  0.4270  0.4270  0.4272
Al  0.7235  0.7235  0.2256


Material: FeIrPd3
Method: DFT, PBE
State: relaxed

Summary:
ΔE_f: 1.23 eV/atom
Magnetic moment: 4.43 Bohr magnetons per cell

Cell lengths 4.4860, 4.4860, 4.4860 Å; angles 90.00, 90.00, 90.00 degrees
Atoms (fractional coordinates):
Fe  0.0000  0.0000  0.0000
Ir  0.5000  0.5000  0.5000
Pd  0.0000  0.0000  0.5000
Pd  0.0000  0.5000  0.0000
Pd  0.5000  0.0000  0.0000


Material: LaTb4Nd5
Method: DFT, PBE
State: relaxed

Summary:
ΔE_f: 0.15 eV/atom
Magnetic moment: 0.00 Bohr magnetons per cell

Cell lengths 9.3520, 9.3520, 10.6646 Å; angles 96.01, 96.01, 22.31 degrees
Atoms (fractional coordinates):
La  0.0000  0.0000  0.0000
Tb  0.1835  0.1835  0.9102
Tb  0.4532  0.4532  0.2412
Tb  0.5468  0.5468  0.7588
Tb  0.8165  0.8165  0.0898
Nd  0.0000  0.0000  0.5000
Nd  0.3095  0.3095  0.4020
Nd  0.3583  0.3583  0.7649
Nd  0.6417  0.6417  0.2351
Nd  0.6905  0.6905  0.5980


Material: Rb4ZnAg3F12
Method: DFT, PBE
State: relaxed

Summary:
E_form (uncorrected): -196.3 kJ/mol of atoms
Magnetic moment: 0.00 Bohr magnetons per cell

Cell lengths 7.5771, 7.5771, 7.5771 Å; angles 109.47, 109.47, 109.47 degrees
Atoms (fractional coordinates):
Rb  0.0000  0.0000  0.5000
Rb  0.0000  0.5000  0.0000
Rb  0.5000  0.0000  0.0000
Rb  0.5000  0.5000  0.5000
Zn  0.0000  0.0000  0.0000
Ag  0.0000  0.5000  0.5000
Ag  0.5000  0.0000  0.5000
Ag  0.5000  0.5000  0.0000
F  0.0000  0.2347  0.2347
F  0.0000  0.7653  0.7653
F  0.2347  0.0000  0.2347
F  0.2347  0.2347  0.0000
F  0.2500  0.5000  0.7500
F  0.2500  0.7500  0.5000
F  0.5000  0.2500  0.7500
F  0.5000  0.7500  0.2500
F  0.7500  0.2500  0.5000
F  0.7500  0.5000  0.2500
F  0.7653  0.0000  0.7653
F  0.7653  0.7653  0.0000


Material: PrTmTeS
Method: DFT, PBE
State: relaxed

Summary:
E_form (uncorrected): -148.2 kJ/mol of atoms
Magnetic moment: 0.00 Bohr magnetons per cell

Cell lengths 7.9700, 7.9700, 7.9700 Å; angles 29.16, 29.16, 29.16 degrees
Atoms (fractional coordinates):
Pr  0.0000  0.0000  0.0000
Tm  0.1542  0.1542  0.1542
Te  0.5709  0.5709  0.5709
S  0.7522  0.7522  0.7522


Material: Pr3TmMg
Method: DFT, PBE
State: relaxed

Summary:
ΔE_f: 0.07 eV/atom
Magnetic moment: 0.00 Bohr magnetons per cell

Cell lengths 11.5948, 11.5948, 8.5921 Å; angles 107.83, 107.83, 17.69 degrees
Atoms (fractional coordinates):
Pr  0.0176  0.0176  0.2248
Pr  0.1764  0.1764  0.4442
Pr  0.3772  0.3772  0.9656
Pr  0.6228  0.6228  0.0344
Pr  0.8236  0.8236  0.5558
Pr  0.9824  0.9824  0.7752
Tm  0.2649  0.2649  0.1786
Tm  0.7351  0.7351  0.8214
Mg  0.4235  0.4235  0.4002
Mg  0.5765  0.5765  0.5998


Material: BeVW2
Method: DFT, PBE
State: relaxed

Summary:
ΔE_f: 0.76 eV/atom
Magnetic moment: 0.00 Bohr magnetons per cell

Cell lengths 5.3997, 5.3997, 5.3997 Å; angles 102.90, 102.90, 123.60 degrees
Atoms (fractional coordinates):
Be  0.0000  0.0000  0.0000
Be  0.7500  0.2500  0.5000
V  0.2500  0.7500  0.5000
V  0.5000  0.5000  0.0000
W  0.0974  0.6250  0.9724
W  0.3750  0.3474  0.4724
W  0.6526  0.1250  0.0276
W  0.8750  0.9026  0.5276


Material: Li3B4C4
Method: DFT, PBE
State: relaxed

Summary:
ΔE_f: -0.20 eV/atom
Magnetic moment: 0.00 Bohr magnetons per cell

Cell lengths 2.7363, 2.7363, 13.4666 Å; angles 90.00, 90.00, 120.00 degrees
Atoms (fractional coordinates):
Li  0.0000  0.0000  0.0000
Li  0.0000  0.0000  0.2637
Li  0.0000  0.0000  0.7363
B  0.3333  0.6667  0.3955
B  0.3333  0.6667  0.8690
B  0.6667  0.3333  0.1310
B  0.6667  0.3333  0.6045
C  0.3333  0.6667  0.1305
C  0.3333  0.6667  0.6097
C  0.6667  0.3333  0.3903
C  0.6667  0.3333  0.8695


Here are the calculated total energy numbers, same order: -4.967; -6.439; -6.515; -6.408; -5.184; -5.349; -4.576; -3.842; -5.666; -4.014; -8.931; -6.502 (eV per atom).